Entry 1:
A plane-wave DFT calculation with PBE-GGA was carried out for an optimized crystal structure of Ce3BiPb.

## Properties
Calculated volume: 29.5 A^3/atom

Cell: 6.374 6.500 8.554 Å, 72.40 74.56 61.95°
Element x y z (fractional)
Ce  0.035  0.247  0.482
Ce  0.275  0.499  0.034
Ce  0.303  0.152  0.728
Ce  0.697  0.848  0.272
Ce  0.725  0.501  0.966
Ce  0.965  0.753  0.518
Bi  0.188  0.997  0.143
Bi  0.812  0.003  0.857
Pb  0.465  0.642  0.641
Pb  0.535  0.358  0.359



Entry 2:
A plane-wave DFT calculation with PBE-GGA was carried out for an optimized crystal structure of CeBi2Pb.

## Properties
Energy above the lowest structure with this stoichiometry: 0.574 eV per atom
Calculated volume: 32.7 A^3/atom

Cell: 12.852 12.852 12.852 Å, 15.42 15.42 15.42°
Element x y z (fractional)
Ce  0.000  0.000  0.000
Bi  0.086  0.086  0.086
Bi  0.914  0.914  0.914
Pb  0.500  0.500  0.500



Entry 3:
A plane-wave DFT calculation with PBE-GGA was carried out for an optimized crystal structure of Ce6BiPb.

## Properties
Calculated volume: 28.1 A^3/atom

Cell: 4.830 4.830 9.650 Å, 90.00 90.00 90.00°
Element x y z (fractional)
Ce  0.000  0.000  0.000
Ce  0.000  0.000  0.500
Ce  0.000  0.500  0.249
Ce  0.000  0.500  0.751
Ce  0.500  0.000  0.249
Ce  0.500  0.000  0.751
Bi  0.500  0.500  0.000
Pb  0.500  0.500  0.500



Entry 4:
A plane-wave DFT calculation with PBE-GGA was carried out for an optimized crystal structure of Ce4Bi5Pb.

## Properties
Energy above the lowest structure with this stoichiometry: 0.000 eV per atom
Calculated volume: 35.0 A^3/atom

Cell: 16.755 16.755 16.755 Å, 164.18 164.18 22.45°
Element x y z (fractional)
Ce  0.099  0.099  0.000
Ce  0.299  0.299  0.000
Ce  0.701  0.701  0.000
Ce  0.901  0.901  0.000
Bi  0.000  0.000  0.000
Bi  0.200  0.200  0.000
Bi  0.397  0.397  0.000
Bi  0.603  0.603  0.000
Bi  0.800  0.800  0.000
Pb  0.500  0.500  0.000



Entry 5:
A plane-wave DFT calculation with PBE-GGA was carried out for an optimized crystal structure of Ce2Bi4Pb.

## Properties
Energy above the lowest structure with this stoichiometry: 0.007 eV per atom
Calculated volume: 34.0 A^3/atom

Cell: 4.551 4.551 11.485 Å, 90.00 90.00 90.00°
Element x y z (fractional)
Ce  0.000  0.500  0.222
Ce  0.500  0.000  0.778
Bi  0.000  0.000  0.000
Bi  0.000  0.500  0.706
Bi  0.500  0.000  0.294
Bi  0.500  0.500  0.000
Pb  0.000  0.000  0.500



Entry 6:
A plane-wave DFT calculation with PBE-GGA was carried out for an optimized crystal structure of Ce4Bi5Pb.

## Properties
Energy above the lowest structure with this stoichiometry: 0.158 eV per atom
Calculated volume: 34.2 A^3/atom

Cell: 9.220 9.220 9.049 Å, 119.22 119.22 30.99°
Element x y z (fractional)
Ce  0.017  0.017  0.259
Ce  0.334  0.334  0.079
Ce  0.666  0.666  0.921
Ce  0.983  0.983  0.741
Bi  0.162  0.162  0.660
Bi  0.175  0.175  0.181
Bi  0.500  0.500  0.000
Bi  0.825  0.825  0.819
Bi  0.838  0.838  0.340
Pb  0.500  0.500  0.500



Entry 7:
A plane-wave DFT calculation with PBE-GGA was carried out for an optimized crystal structure of Ce5Bi2Pb.

## Properties
Calculated volume: 30.8 A^3/atom

Cell: 6.486 6.486 14.319 Å, 90.00 90.00 125.13°
Element x y z (fractional)
Ce  0.055  0.945  0.750
Ce  0.099  0.901  0.047
Ce  0.099  0.901  0.453
Ce  0.428  0.572  0.079
Ce  0.428  0.572  0.421
Ce  0.572  0.428  0.579
Ce  0.572  0.428  0.921
Ce  0.901  0.099  0.547
Ce  0.901  0.099  0.953
Ce  0.945  0.055  0.250
Bi  0.291  0.709  0.622
Bi  0.291  0.709  0.878
Bi  0.709  0.291  0.122
Bi  0.709  0.291  0.378
Pb  0.242  0.758  0.250
Pb  0.758  0.242  0.750



Entry 8:
A plane-wave DFT calculation with PBE-GGA was carried out for an optimized crystal structure of Ce2Bi9Pb.

## Properties
Calculated volume: 31.1 A^3/atom

Cell: 4.866 4.866 15.742 Å, 90.00 90.00 90.00°
Element x y z (fractional)
Ce  0.000  0.000  0.156
Ce  0.000  0.000  0.844
Bi  0.000  0.500  0.000
Bi  0.000  0.500  0.326
Bi  0.000  0.500  0.674
Bi  0.500  0.000  0.000
Bi  0.500  0.000  0.326
Bi  0.500  0.000  0.674
Bi  0.500  0.500  0.165
Bi  0.500  0.500  0.500
Bi  0.500  0.500  0.835
Pb  0.000  0.000  0.500



Entry 9:
A plane-wave DFT calculation with PBE-GGA was carried out for an optimized crystal structure of Ce4BiPb2.

## Properties
Calculated volume: 32.1 A^3/atom

Cell: 8.359 8.359 8.359 Å, 109.43 109.43 109.56°
Element x y z (fractional)
Ce  0.123  0.022  0.750
Ce  0.123  0.522  0.750
Ce  0.272  0.373  0.250
Ce  0.478  0.228  0.601
Ce  0.627  0.877  0.399
Ce  0.627  0.877  0.899
Ce  0.772  0.373  0.250
Ce  0.978  0.728  0.101
Bi  0.250  0.750  0.500
Bi  0.500  0.500  0.000
Pb  0.001  0.125  0.376
Pb  0.375  0.999  0.124
Pb  0.749  0.625  0.624
Pb  0.875  0.251  0.876



Entry 10:
A plane-wave DFT calculation with PBE-GGA was carried out for an optimized crystal structure of CeBi2Pb.

## Properties
Energy above the lowest structure with this stoichiometry: 0.000 eV per atom
Calculated volume: 30.2 A^3/atom

Cell: 5.129 5.129 4.592 Å, 90.00 90.00 90.00°
Element x y z (fractional)
Ce  0.000  0.000  0.000
Bi  0.000  0.500  0.500
Bi  0.500  0.000  0.500
Pb  0.500  0.500  0.000



Entry 11:
A plane-wave DFT calculation with PBE-GGA was carried out for an optimized crystal structure of Ce3Bi12Pb5.

## Properties
Calculated volume: 40.5 A^3/atom

Cell: 16.152 16.152 16.152 Å, 109.47 109.47 109.47°
Element x y z (fractional)
Ce  0.125  0.250  0.375
Ce  0.125  0.375  0.750
Ce  0.250  0.375  0.125
Ce  0.250  0.875  0.625
Ce  0.375  0.125  0.250
Ce  0.375  0.750  0.125
Ce  0.625  0.250  0.875
Ce  0.625  0.875  0.750
Ce  0.750  0.125  0.375
Ce  0.750  0.625  0.875
Ce  0.875  0.625  0.250
Ce  0.875  0.750  0.625
Bi  0.070  0.240  0.148
Bi  0.070  0.330  0.922
Bi  0.078  0.648  0.408
Bi  0.078  0.930  0.670
Bi  0.092  0.740  0.670
Bi  0.092  0.852  0.422
Bi  0.148  0.070  0.240
Bi  0.148  0.578  0.908
Bi  0.170  0.240  0.592
Bi  0.170  0.430  0.578
Bi  0.240  0.148  0.070
Bi  0.240  0.592  0.170
Bi  0.260  0.330  0.908
Bi  0.260  0.430  0.352
Bi  0.330  0.908  0.260
Bi  0.330  0.922  0.070
Bi  0.352  0.260  0.430
Bi  0.352  0.592  0.922
Bi  0.408  0.078  0.648
Bi  0.408  0.830  0.760
Bi  0.422  0.092  0.852
Bi  0.422  0.830  0.570
Bi  0.430  0.352  0.260
Bi  0.430  0.578  0.170
Bi  0.570  0.422  0.830
Bi  0.570  0.648  0.740
Bi  0.578  0.170  0.430
Bi  0.578  0.908  0.148
Bi  0.592  0.170  0.240
Bi  0.592  0.922  0.352
Bi  0.648  0.408  0.078
Bi  0.648  0.740  0.570
Bi  0.670  0.078  0.930
Bi  0.670  0.092  0.740
Bi  0.740  0.570  0.648
Bi  0.740  0.670  0.092
Bi  0.760  0.408  0.830
Bi  0.760  0.852  0.930
Bi  0.830  0.570  0.422
Bi  0.830  0.760  0.408
Bi  0.852  0.422  0.092
Bi  0.852  0.930  0.760
Bi  0.908  0.148  0.578
Bi  0.908  0.260  0.330
Bi  0.922  0.070  0.330
Bi  0.922  0.352  0.592
Bi  0.930  0.670  0.078
Bi  0.930  0.760  0.852
Pb  0.000  0.000  0.000
Pb  0.000  0.000  0.500
Pb  0.000  0.500  0.000
Pb  0.000  0.500  0.500
Pb  0.125  0.750  0.875
Pb  0.125  0.875  0.250
Pb  0.250  0.125  0.875
Pb  0.250  0.625  0.375
Pb  0.375  0.250  0.625
Pb  0.375  0.625  0.750
Pb  0.500  0.000  0.000
Pb  0.500  0.000  0.500
Pb  0.500  0.500  0.000
Pb  0.500  0.500  0.500
Pb  0.625  0.375  0.250
Pb  0.625  0.750  0.375
Pb  0.750  0.375  0.625
Pb  0.750  0.875  0.125
Pb  0.875  0.125  0.750
Pb  0.875  0.250  0.125



Entry 12:
A plane-wave DFT calculation with PBE-GGA was carried out for an optimized crystal structure of Ce8Bi3Pb4.

## Properties
Calculated volume: 35.9 A^3/atom

Cell: 9.130 9.130 9.109 Å, 119.85 119.85 90.03°
Element x y z (fractional)
Ce  0.248  0.248  0.493
Ce  0.248  0.752  0.000
Ce  0.249  0.249  0.002
Ce  0.251  0.749  0.500
Ce  0.749  0.251  0.500
Ce  0.751  0.751  0.998
Ce  0.752  0.248  0.000
Ce  0.752  0.752  0.507
Bi  0.000  0.000  0.500
Bi  0.000  0.500  0.500
Bi  0.500  0.000  0.500
Pb  0.000  0.000  0.000
Pb  0.000  0.500  0.000
Pb  0.500  0.000  0.000
Pb  0.500  0.500  0.500



no.,ΔH_f (0 K) (eV per atom)
1,-0.4090
2,0.1395
3,-0.3397
4,-0.5973
5,-0.4318
6,-0.4390
7,-0.2186
8,-0.2689
9,-0.4776
10,-0.4347
11,-0.0342
12,-0.3798